Here is an optimized crystal structure of NaScV2O8 from Alexandria. Energies are from PBE+U.

Cell and atoms, written as POSCAR:
```
NaScV2O8
1.0
5.745 0.000 0.000
-2.872 4.975 0.000
0.000 0.000 6.639
Na Sc V O
1 1 2 8
Cartesian
0.000 0.000 0.000
0.000 0.000 3.320
0.000 3.317 1.491
2.872 1.658 5.148
0.000 1.650 2.035
-1.443 4.150 2.035
1.429 0.825 4.604
0.000 3.317 6.435
2.872 1.658 0.204
1.443 4.150 2.035
4.315 0.825 4.604
2.872 3.325 4.604
```

Properties
Crystal system ... trigonal
Calculated volume ... 15.81 Å³ per atom
Space group ... P-3m1
Uncorrected energy ... -84.9 eV for the cell shown